1.
VASP calculation (PBE-GGA) on a relaxed structure of AcCd4Cu4.

The structure in CIF format:
```
data_AcCd4Cu4
_chemical_formula_sum 'Ac2 Cd8 Cu8'
_cell_length_a 9.001
_cell_length_b 9.001
_cell_length_c 4.733
_cell_angle_alpha 90.00
_cell_angle_beta 90.00
_cell_angle_gamma 90.00
_space_group_name_H-M_alt 'P 42/n'
_space_group_IT_number 86
loop_
_space_group_symop_operation_xyz
'x,y,z'
'-x,-y,-z'
'-y,x+1/2,z+1/2'
'y,-x+1/2,-z+1/2'
'-x+1/2,-y+1/2,z'
'x+1/2,y+1/2,-z'
'y+1/2,-x,z+1/2'
'-y+1/2,x,-z+1/2'
loop_
_atom_site_label
_atom_site_fract_x
_atom_site_fract_y
_atom_site_fract_z
Ac1 0.250 0.250 0.250
Cd1 0.131 0.865 0.666
Cu1 0.006 0.109 0.831
```

Properties
- Magnetic moment: 0.000 μB/atom
- Energy of formation from the pure elements: 0.6 eV/f.u.

=====

2.
VASP calculation (PBE-GGA) on a relaxed structure of SrCu3.

The structure in CIF format:
```
data_SrCu3
_chemical_formula_sum 'Sr2 Cu6'
_cell_length_a 6.009
_cell_length_b 6.020
_cell_length_c 4.278
_cell_angle_alpha 90.00
_cell_angle_beta 90.00
_cell_angle_gamma 90.00
_space_group_name_H-M_alt 'C m m m'
_space_group_IT_number 65
_space_group_name_Hall '-C 2 2'
loop_
_atom_site_label
_atom_site_fract_x
_atom_site_fract_y
_atom_site_fract_z
Sr1 0.000 0.000 0.000
Cu1 0.000 0.500 0.000
Cu2 0.250 0.250 0.500
```

Properties
- Magnetic moment: 0.000 μB/atom
- Energy of formation from the pure elements: 1.4 eV/f.u.

=====

3.
VASP calculation (PBE-GGA) on a relaxed structure of Sr2ErHfAs4.

The structure in CIF format:
```
data_Sr2ErHfAs4
_chemical_formula_sum 'Sr2 Er1 Hf1 As4'
_cell_length_a 7.161
_cell_length_b 4.113
_cell_length_c 7.500
_cell_angle_alpha 90.00
_cell_angle_beta 108.32
_cell_angle_gamma 90.00
_space_group_name_H-M_alt 'P 1 2/m 1'
_space_group_IT_number 10
_space_group_name_Hall '-P 2y'
loop_
_atom_site_label
_atom_site_fract_x
_atom_site_fract_y
_atom_site_fract_z
Sr1 0.000 0.000 0.000
Sr2 0.500 0.500 0.000
Er1 0.000 0.500 0.500
Hf1 0.500 0.000 0.500
As1 0.251 0.000 0.716
As2 0.274 0.500 0.288
```

Properties
- Magnetic moment: 0.000 μB/atom
- Energy of formation from the pure elements: -9.3 eV/f.u.